# VIO5 | Alexandria | PBE+U | relaxed
data_VIO5
_space_group_name_H-M_alt 'P 1'
_space_group_IT_number 1
_space_group_name_Hall 'P 1'
_cell_length_a 5.925
_cell_length_b 5.926
_cell_length_c 7.064
_cell_angle_alpha 72.70
_cell_angle_beta 72.70
_cell_angle_gamma 65.84
loop_
_atom_site_label
_atom_site_fract_x
_atom_site_fract_y
_atom_site_fract_z
V1 0.000 0.000 0.000
V2 0.001 0.999 0.500
I1 0.467 0.483 0.763
I2 0.484 0.466 0.263
O1 0.011 0.894 0.274
O2 0.173 0.176 0.913
O3 0.175 0.173 0.413
O4 0.246 0.658 0.572
O5 0.246 0.659 0.976
O6 0.651 0.678 0.169
O7 0.659 0.243 0.477
O8 0.659 0.244 0.073
O9 0.681 0.648 0.669
O10 0.896 0.009 0.774
# - density of states at the Fermi level (states/eV/f.u.) = 0.000
# - calculated total energy (eV/atom) = -5.8264
# - density (kg/m³) = 4047
# - size of the total moment (μB/f.u.) = 0.00